The following is a GGA+U calculation of crystalline CoPtF2 at its relaxed geometry, from Alexandria via LeMat-Bulk.

Calculated values
For the energy above the lowest structure with this stoichiometry, the calculation gives 61.3 kJ/mol of atoms.

a b c (Å): 5.737 5.737 5.737
angles (deg): 121.07 121.07 88.15
Positions (direct):
Co: 0.000 0.000 0.000
Co: 0.750 0.250 0.500
Pt: 0.250 0.750 0.500
Pt: 0.500 0.500 0.000
F: 0.020 0.625 0.895
F: 0.375 0.270 0.395
F: 0.730 0.125 0.105
F: 0.875 0.980 0.605